Entry from Alexandria: a relaxed structure of Dy2GaF8 (PBE).

POSCAR file:
```
Dy2GaF8
1.0
4.917 -0.563 -0.468
-0.617 5.918 0.309
-0.617 1.386 5.762
F Ga Dy
8 1 2
direct
0.720 0.040 0.649
0.767 0.566 0.566
0.768 0.145 0.145
0.720 0.649 0.040
0.232 0.855 0.855
0.280 0.960 0.351
0.280 0.351 0.960
0.233 0.434 0.434
0.000 0.000 0.000
0.583 0.324 0.324
0.417 0.676 0.676
```

Results
- ΔE_f (raw) (eV/atom) = -3.487
- E_tot (eV for the cell shown) = -65.56